# ReMo2WN

A geometry-optimized ReMo2WN structure (PBE-GGA, the Alexandria database).

abc: 4.9056 4.9056 3.6616
angles: 90.00 90.00 90.00
Last column: nearest neighbours and their distance in Å.
Space group P4/mmm (No. 123)
Unique sites:
Re  0.0000  0.0000  0.0000  2 N 1.83
Mo  0.0000  0.5000  0.0000  2 Re 2.45
W  0.5000  0.5000  0.5000  8 Mo 3.06
N  0.0000  0.0000  0.5000  2 Re 1.83

uncorrected formation energy: 1690 meV/atom
E above lowest polymorph: 1704 meV per atom

***

# PaSi4Rh4

A geometry-optimized PaSi4Rh4 structure (PBE-GGA, the Alexandria database).

abc: 5.9438 5.9438 8.0297
angles: 90.00 90.00 90.00
Last column: nearest neighbours and their distance in Å.
Space group P4_2/nmc (No. 137, origin choice 2)
Unique sites:
Pa  0.2500  0.7500  0.2500  12 Si 3.18-3.49, 12 Rh 3.39-3.43
Si  0.0488  0.2500  0.0788  1 Si 2.39, 5 Rh 2.41-2.44
Rh  0.0176  0.2500  0.3777  5 Si 2.41-2.44

uncorrected formation energy: -726 meV/atom

***

# Ho2GaTe

A geometry-optimized Ho2GaTe structure (PBE-GGA, the Alexandria database).

abc: 4.0835 4.0835 22.5618
angles: 90.00 90.00 120.00
Last column: nearest neighbours and their distance in Å.
Space group R-3m (No. 166, hexagonal axes)
Unique sites:
Ho  0.0000  0.0000  0.2447  3 Ga 2.94, 3 Te 3.09
Ga  0.0000  0.0000  0.5000  6 Ho 2.94
Te  0.0000  0.0000  0.0000  6 Ho 3.09

uncorrected formation energy: -920 meV/atom
E above lowest polymorph: 76 meV per atom

***

# ZrV6H8

A geometry-optimized ZrV6H8 structure (PBE-GGA, the Alexandria database).

abc: 7.9154 7.9154 6.6752
angles: 90.00 90.00 120.00
Last column: nearest neighbours and their distance in Å.
Space group R-3 (No. 148, hexagonal axes)
Unique sites:
Zr  0.0000  0.0000  0.0000  8 H 2.03-2.15
V  0.0427  0.7998  0.6481  4 H 1.81-1.99
H  0.0000  0.0000  0.3043  3 V 1.81
H  0.0539  0.7938  0.1550  3 V 1.85-1.99

VASP energy: -6.1409 eV/atom

***

# Li2TlBr

A geometry-optimized Li2TlBr structure (PBE-GGA, the Alexandria database).

abc: 5.0520 5.0520 3.5166
angles: 90.00 90.00 90.00
Last column: nearest neighbours and their distance in Å.
Space group P4/mmm (No. 123)
Unique sites:
Li  0.0000  0.5000  0.0000  4 Br 3.08, 4 Tl 3.08
Tl  0.0000  0.0000  0.5000  8 Li 3.08
Br  0.5000  0.5000  0.5000  8 Li 3.08

uncorrected formation energy: -505 meV/atom
E above lowest polymorph: 220 meV per atom

***

# Pa2SbO8F

A geometry-optimized Pa2SbO8F structure (PBE-GGA, the Alexandria database).

abc: 4.6833 4.6877 7.5780
angles: 90.06 90.07 93.60
Last column: nearest neighbours and their distance in Å.
Space group P-1 (No. 2)
Unique sites:
Pa  0.0004  0.0005  0.2477  6 O 2.08-2.28
Sb  0.5000  0.5000  0.5000  6 O 1.96-2.01
O  0.1936  0.1956  0.5003  1 Sb 1.96
O  0.2014  0.2017  0.9998  1 F 1.91
O  0.2965  0.7033  0.3080  1 Sb 2.01, 1 Pa 2.08
O  0.2985  0.7052  0.6920  1 Sb 2.01, 1 Pa 2.08
F  0.5000  0.5000  0.0000  2 O 1.91

uncorrected formation energy: -2278 meV/atom

***

no.,magnetization (μB/f.u.),DOS(E_F) (states/eV per atom)
1,0.00,1.3101
2,0.50,0.8473
3,0.00,0.3549
4,0.00,0.5050
5,0.00,0.4255
6,0.00,0.0106